VASP calculation (PBE) on a relaxed structure of CaPuIrO6.

Cell lengths 5.2287, 5.2287, 10.6434 Å; angles 90.00, 90.00, 120.00 degrees
Site moments in Bohr magnetons follow the coordinates.
Atoms (fractional coordinates):
Ca (0.0000, 0.0000, 0.0000)  -0.01
Ca (0.0000, 0.0000, 0.5000)  -0.01
Pu (0.6667, 0.3333, 0.2500)  2.12
Pu (0.3333, 0.6667, 0.7500)  2.12
Ir (0.3333, 0.6667, 0.2500)  -0.43
Ir (0.6667, 0.3333, 0.7500)  -0.43
O (0.6454, 0.6543, 0.1419)  -0.11
O (0.0089, 0.3546, 0.1419)  -0.11
O (0.3546, 0.0089, 0.6419)  -0.11
O (0.9911, 0.6454, 0.8581)  -0.11
O (0.3457, 0.3546, 0.3581)  -0.11
O (0.0089, 0.6543, 0.3581)  -0.11
O (0.6543, 0.0089, 0.8581)  -0.11
O (0.6454, 0.9911, 0.3581)  -0.11
O (0.9911, 0.3457, 0.6419)  -0.11
O (0.3457, 0.9911, 0.1419)  -0.11
O (0.6543, 0.6454, 0.6419)  -0.11
O (0.3546, 0.3457, 0.8581)  -0.11

Values from the calculation:
Mass density, Mg/m³: 7.542
ΔE_f (raw), eV per atom: -2.102
Magnetic moment, μB per formula unit: 1.0
Density of states at the Fermi level, states/eV/cell: 3.75